Record 1
{
  "formula": "Si2AgAu",
  "functional": "GGA-PBE",
  "state": "optimized geometry",
  "cell": [[2.7633, 0.0000, 0.0000], [0.0000, 5.0157, 0.0000], [0.0000, 0.0000, 4.9338]],
  "species": ["Au", "Ag", "Si", "Si"],
  "frac_coords": [[0.0000, 0.5000, 0.5000], [0.5000, 0.0000, 0.5000], [0.5000, 0.5000, 0.0000], [0.0000, 0.0000, 0.0000]],
  "final_energy_ev_per_fu": -15.53,
  "formation_energy_uncorrected_ev_per_atom": 0.36,
  "de_polymorph_ev_per_atom": 0.210,
  "sg": "No. 47"
}

***

Record 2
{
  "formula": "Si4AgAu",
  "functional": "GGA-PBE",
  "state": "optimized geometry",
  "cell": [[1.1222, 3.2232, 3.9384], [-3.1497, 4.0144, 1.0601], [-2.9179, -0.0468, 4.3177]],
  "species": ["Si", "Si", "Si", "Au", "Si", "Ag"],
  "frac_coords": [[0.3750, 0.3750, 0.3750], [0.8749, 0.3750, 0.3750], [0.3750, 0.8749, 0.3750], [0.0000, 0.0000, 0.0000], [0.3750, 0.3750, 0.8749], [0.7500, 0.7500, 0.7500]],
  "final_energy_ev_per_fu": -24.82,
  "formation_energy_uncorrected_ev_per_atom": 0.50,
  "sg": "No. 216"
}

***

Record 3
{
  "formula": "Si2AgAu",
  "functional": "GGA-PBE",
  "state": "optimized geometry",
  "cell": [[4.1576, 0.0000, 0.0000], [0.0000, 4.1576, 0.0000], [0.0000, 0.0000, 3.9326]],
  "species": ["Si", "Au", "Si", "Ag"],
  "frac_coords": [[0.5000, 0.5000, 0.0000], [0.0000, 0.5000, 0.5000], [0.0000, 0.0000, 0.0000], [0.5000, 0.0000, 0.5000]],
  "final_energy_ev_per_fu": -15.56,
  "formation_energy_uncorrected_ev_per_atom": 0.35,
  "de_polymorph_ev_per_atom": 0.203,
  "sg": "No. 123"
}

***

Record 4
{
  "formula": "Si2AgAu",
  "functional": "GGA-PBE",
  "state": "optimized geometry",
  "cell": [[0.0000, 3.2594, 3.2594], [3.2594, 0.0000, 3.2594], [3.2594, 3.2594, 0.0000]],
  "species": ["Si", "Ag", "Si", "Au"],
  "frac_coords": [[0.7500, 0.7500, 0.7500], [0.0000, 0.0000, 0.0000], [0.2500, 0.2500, 0.2500], [0.5000, 0.5000, 0.5000]],
  "final_energy_ev_per_fu": -15.37,
  "formation_energy_uncorrected_ev_per_atom": 0.40,
  "de_polymorph_ev_per_atom": 0.251,
  "sg": "No. 225"
}

***

Record 5
{
  "formula": "SiAg2Au",
  "functional": "GGA-PBE",
  "state": "optimized geometry",
  "cell": [[2.9362, 0.0000, 0.0000], [0.0000, 4.1430, 0.0000], [0.0000, 0.0000, 5.6823]],
  "species": ["Ag", "Au", "Ag", "Si"],
  "frac_coords": [[0.0000, 0.0000, 0.5062], [0.5000, 0.5000, 0.2500], [0.0000, 0.0000, 0.9938], [0.5000, 0.5000, 0.7500]],
  "final_energy_ev_per_fu": -13.81,
  "formation_energy_uncorrected_ev_per_atom": 0.15,
  "sg": "No. 47"
}

***

Record 6
{
  "formula": "SiAgAu2",
  "functional": "GGA-PBE",
  "state": "optimized geometry",
  "cell": [[7.4590, 0.0000, 0.0000], [0.0000, 7.4590, 0.0000], [3.7295, 3.7295, 2.6949]],
  "species": ["Au", "Au", "Ag", "Au", "Si", "Si", "Au", "Ag"],
  "frac_coords": [[0.5745, 0.1250, 0.2500], [0.8750, 0.8245, 0.7500], [0.0000, 0.0000, 0.0000], [0.1755, 0.6250, 0.2500], [0.5000, 0.5000, 0.0000], [0.2500, 0.7500, 0.5000], [0.3750, 0.4255, 0.7500], [0.7500, 0.2500, 0.5000]],
  "final_energy_ev_per_fu": -14.37,
  "formation_energy_uncorrected_ev_per_atom": 0.11,
  "sg": "No. 122"
}

***

Record 7
{
  "formula": "SiAg2Au",
  "functional": "GGA-PBE",
  "state": "optimized geometry",
  "cell": [[-4.3809, 0.3641, -0.9062], [-0.6425, -1.4021, 2.5426], [-0.6275, 3.5120, 4.4441]],
  "species": ["Si", "Au", "Ag", "Ag"],
  "frac_coords": [[0.5000, 0.7500, 0.7500], [0.5000, 0.2500, 0.2500], [0.0000, 0.6567, 0.5142], [0.0000, 0.8433, 0.9858]],
  "final_energy_ev_per_fu": -13.87,
  "formation_energy_uncorrected_ev_per_atom": 0.13,
  "sg": "No. 10"
}

***

Record 8
{
  "formula": "SiAg4Au8",
  "functional": "GGA-PBE",
  "state": "optimized geometry",
  "cell": [[-3.2985, 0.6766, -2.3909], [-1.6015, -3.6597, 1.1737], [-6.5691, 6.3583, 10.8621]],
  "species": ["Au", "Au", "Si", "Ag", "Ag", "Au", "Ag", "Au", "Au", "Au", "Ag", "Au", "Au"],
  "frac_coords": [[0.5000, 0.5000, 0.0526], [0.0000, 0.0000, 0.4683], [0.0000, 0.0000, 0.3032], [0.0000, 0.5000, 0.6115], [0.0000, 0.0000, 0.0531], [0.0000, 0.5000, 0.2073], [0.5000, 0.5000, 0.4579], [0.5000, 0.0000, 0.2062], [0.0000, 0.0000, 0.7593], [0.5000, 0.5000, 0.7597], [0.5000, 0.0000, 0.9066], [0.0000, 0.5000, 0.9070], [0.5000, 0.0000, 0.6105]],
  "final_energy_ev_per_fu": -42.98,
  "formation_energy_uncorrected_ev_per_atom": 0.01,
  "sg": "No. 25"
}

***

Record 9
{
  "formula": "SiAg2Au",
  "functional": "GGA-PBE",
  "state": "optimized geometry",
  "cell": [[-3.7405, 3.2121, 0.2393], [-2.7601, -1.3557, 3.8613], [4.8599, 0.8149, -0.2877]],
  "species": ["Si", "Ag", "Ag", "Au"],
  "frac_coords": [[0.7500, 0.2500, 0.5000], [0.2500, 0.7500, 0.5000], [0.0000, 0.0000, 0.0000], [0.5000, 0.5000, 0.0000]],
  "final_energy_ev_per_fu": -13.79,
  "formation_energy_uncorrected_ev_per_atom": 0.15,
  "sg": "No. 119"
}

***

Record 10
{
  "formula": "SiAg2Au",
  "functional": "GGA-PBE",
  "state": "optimized geometry",
  "cell": [[-2.0905, -3.1238, -1.9632], [2.5742, -1.5113, -0.3365], [0.4845, -3.2293, 4.6225]],
  "species": ["Si", "Ag", "Ag", "Au"],
  "frac_coords": [[0.5000, 0.5656, 0.7585], [0.5000, 0.3075, 0.2526], [0.0000, 0.9451, 0.9786], [0.0000, 0.6818, 0.5103]],
  "final_energy_ev_per_fu": -14.04,
  "formation_energy_uncorrected_ev_per_atom": 0.09,
  "sg": "No. 6"
}

***

Record 11
{
  "formula": "Si2AgAu",
  "functional": "GGA-PBE",
  "state": "optimized geometry",
  "cell": [[-4.0095, 0.1221, 2.2434], [-1.3476, -0.4496, -2.3839], [0.3001, -5.2634, 0.8228]],
  "species": ["Si", "Ag", "Au", "Si"],
  "frac_coords": [[0.0000, 0.7497, 0.0076], [0.5000, 0.2500, 0.2500], [0.5000, 0.7500, 0.7500], [0.0000, 0.7503, 0.4924]],
  "final_energy_ev_per_fu": -15.88,
  "formation_energy_uncorrected_ev_per_atom": 0.27,
  "de_polymorph_ev_per_atom": 0.124,
  "sg": "No. 47"
}

***

Record 12
{
  "formula": "SiAgAu2",
  "functional": "GGA-PBE",
  "state": "optimized geometry",
  "cell": [[-4.0897, 2.2712, -1.4533], [-0.7276, -4.7888, -0.7309], [-1.1359, -0.2546, 2.7986]],
  "species": ["Au", "Ag", "Si", "Au"],
  "frac_coords": [[0.0000, 0.0000, 0.0000], [0.0000, 0.5000, 0.5000], [0.5000, 0.0000, 0.5000], [0.5000, 0.5000, 0.0000]],
  "final_energy_ev_per_fu": -14.32,
  "formation_energy_uncorrected_ev_per_atom": 0.13,
  "sg": "No. 65"
}

***

Record 13
{
  "formula": "SiAgAu2",
  "functional": "GGA-PBE",
  "state": "optimized geometry",
  "cell": [[3.4802, 0.0000, 0.0000], [0.0000, 3.4802, 0.0000], [0.0000, 0.0000, 5.7614]],
  "species": ["Au", "Ag", "Au", "Si"],
  "frac_coords": [[0.5000, 0.5000, 0.2713], [0.5000, 0.5000, 0.7527], [0.0000, 0.0000, 0.9988], [0.0000, 0.0000, 0.4771]],
  "final_energy_ev_per_fu": -14.32,
  "formation_energy_uncorrected_ev_per_atom": 0.13,
  "sg": "No. 99"
}

***

Record 14
{
  "formula": "SiAg2Au",
  "functional": "GGA-PBE",
  "state": "optimized geometry",
  "cell": [[7.4912, 0.0000, 0.0000], [0.0000, 7.4912, 0.0000], [3.7456, 3.7456, 2.6662]],
  "species": ["Si", "Si", "Ag", "Au", "Ag", "Ag", "Au", "Ag"],
  "frac_coords": [[0.2500, 0.7500, 0.5000], [0.5000, 0.5000, 0.0000], [0.3750, 0.4097, 0.7500], [0.0000, 0.0000, 0.0000], [0.1597, 0.6250, 0.2500], [0.8750, 0.8403, 0.7500], [0.7500, 0.2500, 0.5000], [0.5903, 0.1250, 0.2500]],
  "final_energy_ev_per_fu": -13.28,
  "formation_energy_uncorrected_ev_per_atom": 0.28,
  "sg": "No. 122"
}

***

Record 15
{
  "formula": "Si2AgAu",
  "functional": "GGA-PBE",
  "state": "optimized geometry",
  "cell": [[4.9457, -0.0642, 0.0000], [1.5604, 4.6935, 0.0000], [-3.2530, -2.3147, 2.9196]],
  "species": ["Au", "Si", "Si", "Ag"],
  "frac_coords": [[0.7500, 0.2500, 0.5000], [0.0000, 0.0000, 0.0000], [0.5000, 0.5000, 0.0000], [0.2500, 0.7500, 0.5000]],
  "final_energy_ev_per_fu": -15.54,
  "formation_energy_uncorrected_ev_per_atom": 0.36,
  "de_polymorph_ev_per_atom": 0.209,
  "sg": "No. 139"
}

***

Record 16
{
  "formula": "Si2AgAu",
  "functional": "GGA-PBE",
  "state": "optimized geometry",
  "cell": [[-3.6235, -6.3489, -0.1992], [4.6032, -2.7826, 4.9544], [-1.1476, -3.6943, 4.3884]],
  "species": ["Si", "Ag", "Si", "Si", "Au", "Si", "Ag", "Au"],
  "frac_coords": [[0.3750, 0.3577, 0.7500], [0.2500, 0.7500, 0.5000], [0.8750, 0.8923, 0.7500], [0.1077, 0.6250, 0.2500], [0.0000, 0.0000, 0.0000], [0.6423, 0.1250, 0.2500], [0.5000, 0.5000, 0.0000], [0.7500, 0.2500, 0.5000]],
  "final_energy_ev_per_fu": -15.41,
  "formation_energy_uncorrected_ev_per_atom": 0.39,
  "de_polymorph_ev_per_atom": 0.241,
  "sg": "No. 122"
}

***

Record 17
{
  "formula": "SiAg2Au",
  "functional": "GGA-PBE",
  "state": "optimized geometry",
  "cell": [[2.9590, 0.4915, 0.0000], [-0.5058, 2.9566, 0.0000], [0.0000, 0.0000, 7.7473]],
  "species": ["Ag", "Au", "Ag", "Si"],
  "frac_coords": [[0.5000, 0.5000, 0.2517], [0.0000, 0.0000, 0.5203], [0.0000, 0.0000, 0.9882], [0.5000, 0.5000, 0.7398]],
  "final_energy_ev_per_fu": -13.78,
  "formation_energy_uncorrected_ev_per_atom": 0.16,
  "sg": "No. 35"
}

***

Record 18
{
  "formula": "Si2AgAu",
  "functional": "GGA-PBE",
  "state": "optimized geometry",
  "cell": [[8.0567, -0.0533, -0.0316], [7.4494, 3.0692, -0.0316], [7.4494, 1.4489, 2.7058]],
  "species": ["Si", "Au", "Ag", "Si"],
  "frac_coords": [[0.4969, 0.4969, 0.4969], [0.7500, 0.7500, 0.7500], [0.2500, 0.2500, 0.2500], [0.0031, 0.0031, 0.0031]],
  "final_energy_ev_per_fu": -15.88,
  "formation_energy_uncorrected_ev_per_atom": 0.27,
  "de_polymorph_ev_per_atom": 0.123,
  "sg": "No. 166"
}

***

Record 19
{
  "formula": "SiAgAu2",
  "functional": "GGA-PBE",
  "state": "optimized geometry",
  "cell": [[-2.8475, -4.5788, 0.7501], [0.4044, -5.4108, 0.4428], [-0.0058, -1.5818, 4.2211]],
  "species": ["Si", "Au", "Au", "Ag"],
  "frac_coords": [[0.7500, 0.7500, 0.7500], [0.0393, 0.0393, 0.9601], [0.4607, 0.4607, 0.5399], [0.2500, 0.2500, 0.2500]],
  "final_energy_ev_per_fu": -14.39,
  "formation_energy_uncorrected_ev_per_atom": 0.11,
  "sg": "No. 12"
}

***

Record 20
{
  "formula": "SiAgAu2",
  "functional": "GGA-PBE",
  "state": "optimized geometry",
  "cell": [[-3.0515, -2.7686, 1.1064], [-0.2958, -0.8197, -2.8673], [3.8881, -3.9728, 0.7823]],
  "species": ["Ag", "Au", "Au", "Si"],
  "frac_coords": [[0.5000, 0.7500, 0.7500], [0.0000, 0.2476, 0.5018], [0.0000, 0.2524, 0.9982], [0.5000, 0.2500, 0.2500]],
  "final_energy_ev_per_fu": -14.52,
  "formation_energy_uncorrected_ev_per_atom": 0.08,
  "sg": "No. 10"
}

***

Record 21
{
  "formula": "Si2AgAu",
  "functional": "GGA-PBE",
  "state": "optimized geometry",
  "cell": [[-2.0367, 1.6850, -1.1644], [-1.1996, -2.3123, -1.2479], [-4.5620, -1.0892, 6.4034]],
  "species": ["Au", "Ag", "Si", "Si"],
  "frac_coords": [[0.5000, 0.5000, 0.7679], [0.0000, 0.0000, 0.4866], [0.5000, 0.5000, 0.2374], [0.0000, 0.0000, 0.0081]],
  "final_energy_ev_per_fu": -15.81,
  "formation_energy_uncorrected_ev_per_atom": 0.29,
  "de_polymorph_ev_per_atom": 0.140,
  "sg": "No. 99"
}

***

Record 22
{
  "formula": "SiAg2Au",
  "functional": "GGA-PBE",
  "state": "optimized geometry",
  "cell": [[-2.8608, -2.1282, 3.6986], [-4.3893, -2.3735, 1.2222], [1.0212, -4.9267, -0.1423]],
  "species": ["Ag", "Si", "Ag", "Au"],
  "frac_coords": [[0.9824, 0.9824, 0.0166], [0.2393, 0.2393, 0.2453], [0.7556, 0.7556, 0.7480], [0.5227, 0.5227, 0.4901]],
  "final_energy_ev_per_fu": -13.85,
  "formation_energy_uncorrected_ev_per_atom": 0.14,
  "sg": "No. 8"
}

***

Record 23
{
  "formula": "SiAgAu2",
  "functional": "GGA-PBE",
  "state": "optimized geometry",
  "cell": [[2.9457, 0.4771, 0.0000], [-0.4826, 2.9448, 0.0000], [0.0000, 0.0000, 7.8317]],
  "species": ["Au", "Au", "Si", "Ag"],
  "frac_coords": [[0.0000, 0.0000, 0.9999], [0.5000, 0.5000, 0.2724], [0.0000, 0.0000, 0.4900], [0.5000, 0.5000, 0.7378]],
  "final_energy_ev_per_fu": -14.23,
  "formation_energy_uncorrected_ev_per_atom": 0.15,
  "sg": "No. 35"
}

***

Record 24
{
  "formula": "SiAg2Au6",
  "functional": "GGA-PBE",
  "state": "optimized geometry",
  "cell": [[-1.5198, -2.2343, 1.2413], [-1.4850, -2.9537, -7.1348], [6.4370, -2.2078, 3.9076]],
  "species": ["Ag", "Au", "Au", "Au", "Au", "Ag", "Au", "Si", "Au"],
  "frac_coords": [[0.0000, 0.3328, 0.6655], [0.0000, 0.9988, 0.2757], [0.0000, 0.7231, 0.7243], [0.0000, 0.2779, 0.0000], [0.5000, 0.6232, 0.0000], [0.0000, 0.6673, 0.3345], [0.5000, 0.3752, 0.3747], [0.5000, 0.0013, 0.0000], [0.5000, 0.0004, 0.6253]],
  "final_energy_ev_per_fu": -30.55,
  "formation_energy_uncorrected_ev_per_atom": 0.03,
  "sg": "No. 38"
}

***

Record 25
{
  "formula": "SiAg2Au8",
  "functional": "GGA-PBE",
  "state": "optimized geometry",
  "cell": [[4.5421, -0.7752, -1.3046], [-2.4862, 6.6673, -3.6156], [-0.4729, -0.9369, 7.9123]],
  "species": ["Au", "Ag", "Ag", "Au", "Si", "Au", "Au", "Au", "Au", "Au", "Au"],
  "frac_coords": [[0.9686, 0.1943, 0.8155], [0.4692, 0.6904, 0.3171], [0.4692, 0.3171, 0.6904], [0.2109, 0.6132, 0.8728], [0.3659, 0.0038, 0.0038], [0.7310, 0.3974, 0.1362], [0.1919, 0.2532, 0.2532], [0.9686, 0.8155, 0.1943], [0.2109, 0.8728, 0.6132], [0.7310, 0.1362, 0.3974], [0.6825, 0.7400, 0.7400]],
  "final_energy_ev_per_fu": -37.33,
  "formation_energy_uncorrected_ev_per_atom": 0.00,
  "de_polymorph_ev_per_atom": 0.000,
  "sg": "No. 8"
}

***

Record 26
{
  "formula": "SiAg3Au",
  "functional": "GGA-PBE",
  "state": "optimized geometry",
  "cell": [[4.7422, 0.0000, 0.0000], [0.0000, 4.7422, 0.0000], [0.0000, 0.0000, 4.7422]],
  "species": ["Au", "Ag", "Si", "Ag", "Ag"],
  "frac_coords": [[0.5000, 0.5000, 0.5000], [0.0000, 0.5000, 0.0000], [0.0000, 0.0000, 0.0000], [0.5000, 0.0000, 0.0000], [0.0000, 0.0000, 0.5000]],
  "final_energy_ev_per_fu": -14.69,
  "formation_energy_uncorrected_ev_per_atom": 0.51,
  "de_polymorph_ev_per_atom": 0.000,
  "sg": "No. 221"
}

***

Record 27
{
  "formula": "Si2AgAu",
  "functional": "GGA-PBE",
  "state": "optimized geometry",
  "cell": [[3.4859, 0.0000, 0.0000], [0.0000, 3.4859, 0.0000], [0.0000, 0.0000, 5.7355]],
  "species": ["Si", "Si", "Au", "Ag"],
  "frac_coords": [[0.0000, 0.0000, 0.9814], [0.0000, 0.0000, 0.5186], [0.5000, 0.5000, 0.7500], [0.5000, 0.5000, 0.2500]],
  "final_energy_ev_per_fu": -15.53,
  "formation_energy_uncorrected_ev_per_atom": 0.36,
  "de_polymorph_ev_per_atom": 0.210,
  "sg": "No. 123"
}

***

Record 28
{
  "formula": "Si2Ag2Au",
  "functional": "GGA-PBE",
  "state": "optimized geometry",
  "cell": [[6.3073, 0.0000, 0.0000], [0.0000, 6.3073, 0.0000], [0.0000, 0.0000, 4.4489]],
  "species": ["Ag", "Au", "Au", "Si", "Ag", "Ag", "Si", "Si", "Ag", "Si"],
  "frac_coords": [[0.3034, 0.1966, 0.5000], [0.5000, 0.5000, 0.0000], [0.0000, 0.0000, 0.0000], [0.3702, 0.8702, 0.0000], [0.8034, 0.3034, 0.5000], [0.6966, 0.8034, 0.5000], [0.8702, 0.6298, 0.0000], [0.6298, 0.1298, 0.0000], [0.1966, 0.6966, 0.5000], [0.1298, 0.3702, 0.0000]],
  "final_energy_ev_per_fu": -19.30,
  "formation_energy_uncorrected_ev_per_atom": 0.11,
  "de_polymorph_ev_per_atom": 0.000,
  "sg": "No. 127"
}